# 1
DFT (PBE) results for an optimized crystal structure of InCoRu.

Cell lengths 4.071, 10.919, 4.116 Å; angles 90.00, 90.00, 90.00 degrees
Site moments in Bohr magnetons follow the coordinates.
Element x y z (fractional)
Ru: 0.000 0.569 0.250  0.50
Ru: 0.000 0.431 0.750  0.50
Ru: 0.500 0.069 0.250  0.50
Ru: 0.500 0.931 0.750  0.50
Co: 0.000 0.932 0.250  1.48
Co: 0.000 0.068 0.750  1.48
Co: 0.500 0.432 0.250  1.48
Co: 0.500 0.568 0.750  1.48
In: 0.000 0.249 0.250  -0.03
In: 0.000 0.751 0.750  -0.03
In: 0.500 0.749 0.250  -0.03
In: 0.500 0.251 0.750  -0.03

Formation energy from the elements (eV/atom): 0.207
E_tot (eV/atom): -6.167
Fermi-level density of states (states/eV per cell): 13.220



# 2
DFT (PBE) results for an optimized crystal structure of InCo2Ru2.

Cell lengths 7.234, 7.234, 2.765 Å; angles 90.00, 90.00, 90.00 degrees
Site moments in Bohr magnetons follow the coordinates.
Element x y z (fractional)
Ru: 0.373 0.873 0.000  0.35
Ru: 0.873 0.627 0.000  0.36
Ru: 0.627 0.127 0.000  0.35
Ru: 0.127 0.373 0.000  0.36
Co: 0.166 0.666 0.500  1.21
Co: 0.666 0.834 0.500  1.21
Co: 0.834 0.334 0.500  1.21
Co: 0.334 0.166 0.500  1.21
In: 0.000 0.000 0.000  -0.01
In: 0.500 0.500 0.000  -0.01

Formation energy from the elements (eV/atom): 0.349
E_tot (eV/atom): -6.752
Fermi-level density of states (states/eV per cell): 13.196



# 3
DFT (PBE) results for an optimized crystal structure of InCoRu.

Cell lengths 7.437, 2.907, 9.769 Å; angles 90.00, 121.23, 90.00 degrees
Site moments in Bohr magnetons follow the coordinates.
Element x y z (fractional)
Ru: 0.540 0.000 0.658  0.07
Ru: 0.460 0.000 0.342  0.07
Ru: 0.540 0.500 0.158  0.07
Ru: 0.460 0.500 0.842  0.07
Co: 0.836 0.000 0.363  0.72
Co: 0.164 0.000 0.637  0.72
Co: 0.836 0.500 0.863  0.72
Co: 0.164 0.500 0.137  0.72
In: 0.817 0.000 0.084  -0.03
In: 0.183 0.000 0.916  -0.03
In: 0.817 0.500 0.584  -0.03
In: 0.183 0.500 0.416  -0.03

Formation energy from the elements (eV/atom): 0.186
E_tot (eV/atom): -6.187
Fermi-level density of states (states/eV per cell): 12.523



# 4
DFT (PBE) results for an optimized crystal structure of InCoRu.

Cell lengths 10.984, 4.099, 4.054 Å; angles 90.00, 90.00, 90.00 degrees
Site moments in Bohr magnetons follow the coordinates.
Element x y z (fractional)
Ru: 0.178 0.000 0.000  0.53
Ru: 0.822 0.000 0.000  0.53
Ru: 0.678 0.500 0.000  0.53
Ru: 0.322 0.500 0.000  0.53
Co: 0.684 0.000 0.500  1.44
Co: 0.316 0.000 0.500  1.44
Co: 0.184 0.500 0.500  1.44
Co: 0.816 0.500 0.500  1.44
In: 0.000 0.000 0.500  -0.03
In: 0.500 0.500 0.500  -0.03
In: 0.500 0.000 0.000  -0.03
In: 0.000 0.500 0.000  -0.03

Formation energy from the elements (eV/atom): 0.207
E_tot (eV/atom): -6.166
Fermi-level density of states (states/eV per cell): 13.560



# 5
DFT (PBE) results for an optimized crystal structure of InCoRu.

Cell lengths 4.150, 4.150, 4.150 Å; angles 60.00, 60.00, 60.00 degrees
Site moments in Bohr magnetons follow the coordinates.
Element x y z (fractional)
Co: 0.250 0.250 0.250  1.17
In: 0.000 0.000 0.000  -0.08
Ru: 0.500 0.500 0.500  0.95

Formation energy from the elements (eV/atom): 0.350
E_tot (eV/atom): -6.023
Fermi-level density of states (states/eV per cell): 3.235



# 6
DFT (PBE) results for an optimized crystal structure of InCo2Ru2.

Cell lengths 7.115, 7.115, 2.812 Å; angles 90.00, 90.00, 90.00 degrees
Site moments in Bohr magnetons follow the coordinates.
Element x y z (fractional)
Ru: 0.171 0.671 0.500  0.51
Ru: 0.671 0.829 0.500  0.53
Ru: 0.829 0.329 0.500  0.51
Ru: 0.329 0.171 0.500  0.53
Co: 0.380 0.880 0.000  1.21
Co: 0.880 0.620 0.000  1.25
Co: 0.620 0.120 0.000  1.21
Co: 0.120 0.380 0.000  1.25
In: 0.000 0.000 0.000  -0.01
In: 0.500 0.500 0.000  -0.01

Formation energy from the elements (eV/atom): 0.304
E_tot (eV/atom): -6.796
Fermi-level density of states (states/eV per cell): 13.999